# NdDy3Er5 | Alexandria via LeMat-Bulk | PBE-GGA | optimized geometry
data_NdDy3Er5
_cell_length_a 16.744
_cell_length_b 7.933
_cell_length_c 12.175
_cell_angle_alpha 90.00
_cell_angle_beta 130.67
_cell_angle_gamma 90.00
_symmetry_space_group_name_H-M 'C 1 2/m 1'
_symmetry_Int_Tables_number 12
loop_
_symmetry_equiv_pos_as_xyz
'x,y,z'
'-x,-y,-z'
'-x,y,-z'
'x,-y,z'
'x+1/2,y+1/2,z'
'-x+1/2,-y+1/2,-z'
'-x+1/2,y+1/2,-z'
'x+1/2,-y+1/2,z'
loop_
_atom_site_label
_atom_site_type_symbol
_atom_site_fract_x
_atom_site_fract_y
_atom_site_fract_z
_atom_site_occupancy
Nd1 Nd 0.237 0.000 0.131 1
Dy1 Dy 0.000 0.000 0.000 1
Dy2 Dy 0.000 0.500 0.500 1
Dy3 Dy 0.120 0.500 0.314 1
Dy4 Dy 0.173 0.000 0.341 1
Er1 Er 0.000 0.321 0.000 1
Er2 Er 0.065 0.205 0.781 1
Er3 Er 0.123 0.000 0.566 1
Er4 Er 0.201 0.500 0.071 1
# **Density of states at the Fermi level**: 54.83 states/eV/cell
# **Energy**: -37.61 eV per formula unit
# **ΔE to the lowest computed polymorph**: 0.081 eV/atom
# **DFT formation energy**: 0.420 eV/atom
# **Calculated volume**: 34.1 A^3/atom